Material: Tb2YZr
Method: DFT, PBE
State: relaxed

Results
Its density of states at the Fermi level is 25.89 states/eV/cell. Its space group is No. 225. The energy of formation from the pure elements is 0.2152 eV per atom. The energy above the most stable polymorph in this dataset comes out at 0.52 eV/f.u.

abc: 7.8034 7.8034 7.8034
angles: 90.00 90.00 90.00
Last column: nearest neighbours and their distance in Å.
Positions (direct):
Tb (0.2500, 0.2500, 0.2500)  4 Zr 3.38, 4 Y 3.38
Tb (0.2500, 0.2500, 0.7500)  4 Y 3.38, 4 Zr 3.38
Tb (0.2500, 0.7500, 0.2500)  4 Y 3.38, 4 Zr 3.38
Tb (0.2500, 0.7500, 0.7500)  4 Zr 3.38, 4 Y 3.38
Tb (0.7500, 0.2500, 0.2500)  4 Y 3.38, 4 Zr 3.38
Tb (0.7500, 0.2500, 0.7500)  4 Zr 3.38, 4 Y 3.38
Tb (0.7500, 0.7500, 0.2500)  4 Zr 3.38, 4 Y 3.38
Tb (0.7500, 0.7500, 0.7500)  4 Y 3.38, 4 Zr 3.38
Y (0.0000, 0.0000, 0.0000)  8 Tb 3.38
Y (0.0000, 0.5000, 0.5000)  8 Tb 3.38
Y (0.5000, 0.0000, 0.5000)  8 Tb 3.38
Y (0.5000, 0.5000, 0.0000)  8 Tb 3.38
Zr (0.0000, 0.0000, 0.5000)  8 Tb 3.38
Zr (0.0000, 0.5000, 0.0000)  8 Tb 3.38
Zr (0.5000, 0.0000, 0.0000)  8 Tb 3.38
Zr (0.5000, 0.5000, 0.5000)  8 Tb 3.38



Material: Tb2YZr
Method: DFT, PBE
State: relaxed

Results
Its density of states at the Fermi level is 19.63 states/eV/cell. Its space group is No. 160. The energy of formation from the pure elements is 0.0849 eV per atom. The energy above the most stable polymorph in this dataset comes out at 0.00 eV/f.u.

abc: 3.4741 3.4741 33.7165
angles: 90.00 90.00 120.00
Last column: nearest neighbours and their distance in Å.
Positions (direct):
Tb (0.0000, 0.0000, 0.0000)  3 Zr 3.32, 6 Tb 3.47, 3 Y 3.59
Tb (0.0000, 0.0000, 0.1765)  3 Zr 3.32, 6 Tb 3.47, 3 Y 3.59
Tb (0.3333, 0.6667, 0.6667)  3 Zr 3.32, 6 Tb 3.47, 3 Y 3.59
Tb (0.3333, 0.6667, 0.8431)  3 Zr 3.32, 6 Tb 3.47, 3 Y 3.59
Tb (0.6667, 0.3333, 0.3333)  3 Zr 3.32, 6 Tb 3.47, 3 Y 3.59
Tb (0.6667, 0.3333, 0.5098)  3 Zr 3.32, 6 Tb 3.47, 3 Y 3.59
Y (0.0000, 0.0000, 0.4216)  6 Y 3.47, 6 Tb 3.59
Y (0.3333, 0.6667, 0.0883)  6 Y 3.47, 6 Tb 3.59
Y (0.6667, 0.3333, 0.7549)  6 Y 3.47, 6 Tb 3.59
Zr (0.0000, 0.0000, 0.5883)  6 Tb 3.32, 6 Zr 3.47
Zr (0.3333, 0.6667, 0.2549)  6 Tb 3.32, 6 Zr 3.47
Zr (0.6667, 0.3333, 0.9216)  6 Tb 3.32, 6 Zr 3.47



Material: TbYZr
Method: DFT, PBE
State: relaxed

Results
Its density of states at the Fermi level is 9.04 states/eV/cell. Its space group is No. 107. The energy of formation from the pure elements is 0.0850 eV per atom. The energy above the most stable polymorph in this dataset comes out at 0.00 eV/f.u.

abc: 3.4142 3.4142 14.7542
angles: 90.00 90.00 90.00
Last column: nearest neighbours and their distance in Å.
Positions (direct):
Tb (0.0000, 0.0000, 0.0000)  4 Zr 3.33, 4 Tb 3.41, 4 Y 3.68
Tb (0.5000, 0.5000, 0.5000)  4 Zr 3.33, 4 Tb 3.41, 4 Y 3.68
Y (0.0000, 0.0000, 0.3114)  4 Zr 3.34, 4 Y 3.41, 4 Tb 3.68
Y (0.5000, 0.5000, 0.8114)  4 Zr 3.34, 4 Y 3.41, 4 Tb 3.68
Zr (0.0000, 0.0000, 0.6551)  4 Tb 3.33, 4 Y 3.34, 4 Zr 3.41
Zr (0.5000, 0.5000, 0.1551)  4 Tb 3.33, 4 Y 3.34, 4 Zr 3.41



Material: TbYZr
Method: DFT, PBE
State: relaxed

Results
Its density of states at the Fermi level is 8.63 states/eV/cell. Its space group is No. 11. The energy of formation from the pure elements is 0.1384 eV per atom. The energy above the most stable polymorph in this dataset comes out at 0.16 eV/f.u.

abc: 3.3627 5.0193 10.2128
angles: 90.00 99.38 90.00
Last column: nearest neighbours and their distance in Å.
Positions (direct):
Tb (0.0495, 0.2500, 0.0950)  4 Tb 3.16-3.36, 1 Zr 3.34, 4 Y 3.45
Tb (0.9505, 0.7500, 0.9050)  4 Tb 3.16-3.36, 1 Zr 3.34, 4 Y 3.45
Y (0.3697, 0.2500, 0.7402)  5 Zr 3.16-3.46, 2 Y 3.36, 4 Tb 3.45
Y (0.6303, 0.7500, 0.2598)  5 Zr 3.16-3.46, 2 Y 3.36, 4 Tb 3.45
Zr (0.2136, 0.2500, 0.4266)  5 Y 3.16-3.46, 1 Tb 3.34, 6 Zr 3.36
Zr (0.7864, 0.7500, 0.5734)  5 Y 3.16-3.46, 1 Tb 3.34, 6 Zr 3.36



Material: TbYZr
Method: DFT, PBE
State: relaxed

Results
Its density of states at the Fermi level is 10.86 states/eV/cell. Its space group is No. 166. The energy of formation from the pure elements is 0.5638 eV per atom. The energy above the most stable polymorph in this dataset comes out at 1.44 eV/f.u.

abc: 7.5876 7.5876 7.5876
angles: 42.65 42.65 42.65
Last column: nearest neighbours and their distance in Å.
Positions (direct):
Tb (0.1215, 0.1215, 0.1215)  3 Y 3.23, 4 Zr 3.44-3.55
Tb (0.8785, 0.8785, 0.8785)  3 Y 3.23, 4 Zr 3.44-3.55
Y (0.4279, 0.4279, 0.4279)  1 Zr 2.89, 1 Y 2.98, 3 Tb 3.23
Y (0.5721, 0.5721, 0.5721)  1 Zr 2.89, 1 Y 2.98, 3 Tb 3.23
Zr (0.2880, 0.2880, 0.2880)  1 Y 2.89
Zr (0.7120, 0.7120, 0.7120)  1 Y 2.89



Material: TbY2Zr
Method: DFT, PBE
State: relaxed

Results
Its density of states at the Fermi level is 8.41 states/eV/cell. Its space group is No. 123. The energy of formation from the pure elements is 0.1800 eV per atom. The energy above the most stable polymorph in this dataset comes out at 0.38 eV/f.u.

abc: 4.0282 4.0282 7.2951
angles: 90.00 90.00 90.00
Last column: nearest neighbours and their distance in Å.
Positions (direct):
Tb (0.0000, 0.0000, 0.0000)  8 Y 3.48, 2 Zr 3.65
Y (0.5000, 0.5000, 0.2745)  4 Zr 3.29, 1 Y 3.29, 4 Tb 3.48
Y (0.5000, 0.5000, 0.7255)  4 Zr 3.29, 1 Y 3.29, 4 Tb 3.48
Zr (0.0000, 0.0000, 0.5000)  8 Y 3.29, 2 Tb 3.65



Material: Tb6Y4Zr
Method: DFT, PBE
State: relaxed

Results
Its density of states at the Fermi level is 35.43 states/eV/cell. Its space group is No. 128. The energy of formation from the pure elements is 0.1495 eV per atom.

abc: 8.8069 8.8069 8.8452
angles: 90.00 90.00 90.00
Last column: nearest neighbours and their distance in Å.
Positions (direct):
Tb (0.0000, 0.0000, 0.1739)  1 Zr 2.88, 1 Tb 3.08
Tb (0.0000, 0.0000, 0.8261)  1 Zr 2.88, 1 Tb 3.08
Tb (0.1487, 0.3458, 0.5000)  1 Zr 3.32, 6 Y 3.34-3.46, 2 Tb 3.71
Tb (0.1542, 0.3513, 0.0000)  1 Zr 3.32, 6 Y 3.34-3.46, 2 Tb 3.71
Tb (0.3458, 0.8513, 0.5000)  1 Zr 3.32, 6 Y 3.34-3.46, 2 Tb 3.71
Tb (0.3513, 0.8458, 0.0000)  1 Zr 3.32, 6 Y 3.34-3.46, 2 Tb 3.71
Tb (0.5000, 0.5000, 0.3261)  1 Zr 2.88, 1 Tb 3.08
Tb (0.5000, 0.5000, 0.6739)  1 Zr 2.88, 1 Tb 3.08
Tb (0.6487, 0.1542, 0.0000)  1 Zr 3.32, 6 Y 3.34-3.46, 2 Tb 3.71
Tb (0.6542, 0.1487, 0.5000)  1 Zr 3.32, 6 Y 3.34-3.46, 2 Tb 3.71
Tb (0.8458, 0.6487, 0.0000)  1 Zr 3.32, 6 Y 3.34-3.46, 2 Tb 3.71
Tb (0.8513, 0.6542, 0.5000)  1 Zr 3.32, 6 Y 3.34-3.46, 2 Tb 3.71
Y (0.1475, 0.6475, 0.2500)  8 Tb 3.34-3.46, 1 Y 3.67
Y (0.1475, 0.6475, 0.7500)  8 Tb 3.34-3.46, 1 Y 3.67
Y (0.3525, 0.1475, 0.2500)  8 Tb 3.34-3.46, 1 Y 3.67
Y (0.3525, 0.1475, 0.7500)  8 Tb 3.34-3.46, 1 Y 3.67
Y (0.6475, 0.8525, 0.2500)  8 Tb 3.34-3.46, 1 Y 3.67
Y (0.6475, 0.8525, 0.7500)  8 Tb 3.34-3.46, 1 Y 3.67
Y (0.8525, 0.3525, 0.2500)  8 Tb 3.34-3.46, 1 Y 3.67
Y (0.8525, 0.3525, 0.7500)  8 Tb 3.34-3.46, 1 Y 3.67
Zr (0.0000, 0.0000, 0.5000)  2 Tb 2.88
Zr (0.5000, 0.5000, 0.0000)  2 Tb 2.88



Material: TbY2Zr
Method: DFT, PBE
State: relaxed

Results
Its density of states at the Fermi level is 16.66 states/eV/cell. Its space group is No. 166. The energy of formation from the pure elements is 0.0917 eV per atom. The energy above the most stable polymorph in this dataset comes out at 0.03 eV/f.u.

abc: 3.4567 3.4567 34.0334
angles: 90.00 90.00 120.00
Last column: nearest neighbours and their distance in Å.
Positions (direct):
Tb (0.0000, 0.0000, 0.0000)  6 Tb 3.46, 6 Y 3.61
Tb (0.3333, 0.6667, 0.6667)  6 Tb 3.46, 6 Y 3.61
Tb (0.6667, 0.3333, 0.3333)  6 Tb 3.46, 6 Y 3.61
Y (0.0000, 0.0000, 0.2450)  3 Zr 3.33, 6 Y 3.46, 3 Tb 3.61
Y (0.0000, 0.0000, 0.7550)  3 Zr 3.33, 6 Y 3.46, 3 Tb 3.61
Y (0.3333, 0.6667, 0.4216)  3 Zr 3.33, 6 Y 3.46, 3 Tb 3.61
Y (0.3333, 0.6667, 0.9117)  3 Zr 3.33, 6 Y 3.46, 3 Tb 3.61
Y (0.6667, 0.3333, 0.0883)  3 Zr 3.33, 6 Y 3.46, 3 Tb 3.61
Y (0.6667, 0.3333, 0.5784)  3 Zr 3.33, 6 Y 3.46, 3 Tb 3.61
Zr (0.0000, 0.0000, 0.5000)  6 Y 3.33, 6 Zr 3.46
Zr (0.3333, 0.6667, 0.1667)  6 Y 3.33, 6 Zr 3.46
Zr (0.6667, 0.3333, 0.8333)  6 Y 3.33, 6 Zr 3.46



Material: Tb6Y8Zr
Method: DFT, PBE
State: relaxed

Results
Its density of states at the Fermi level is 23.20 states/eV/cell. Its space group is No. 147. The energy of formation from the pure elements is 0.1540 eV per atom.

abc: 9.8355 9.8355 5.7836
angles: 90.00 90.00 120.00
Last column: nearest neighbours and their distance in Å.
Positions (direct):
Tb (0.0929, 0.4720, 0.2562)  8 Y 3.37-3.72, 4 Tb 3.55-3.77
Tb (0.3791, 0.9071, 0.2562)  8 Y 3.37-3.72, 4 Tb 3.55-3.77
Tb (0.4720, 0.3791, 0.7438)  8 Y 3.37-3.72, 4 Tb 3.55-3.77
Tb (0.5280, 0.6209, 0.2562)  8 Y 3.37-3.72, 4 Tb 3.55-3.77
Tb (0.6209, 0.0929, 0.7438)  8 Y 3.37-3.72, 4 Tb 3.55-3.77
Tb (0.9071, 0.5280, 0.7438)  8 Y 3.37-3.72, 4 Tb 3.55-3.77
Y (0.0506, 0.2683, 0.7669)  1 Zr 2.88
Y (0.2177, 0.9494, 0.7669)  1 Zr 2.88
Y (0.2683, 0.2177, 0.2331)  1 Zr 2.88
Y (0.3333, 0.6667, 0.7652)  3 Y 3.49, 9 Tb 3.58-3.71
Y (0.6667, 0.3333, 0.2348)  3 Y 3.49, 9 Tb 3.58-3.71
Y (0.7317, 0.7823, 0.7669)  1 Zr 2.88
Y (0.7823, 0.0506, 0.2331)  1 Zr 2.88
Y (0.9494, 0.7317, 0.2331)  1 Zr 2.88
Zr (0.0000, 0.0000, 0.5000)  6 Y 2.88



Material: TbYZr
Method: DFT, PBE
State: relaxed

Results
Its density of states at the Fermi level is 5.44 states/eV/cell. Its space group is No. 187. The energy of formation from the pure elements is 0.1449 eV per atom. The energy above the most stable polymorph in this dataset comes out at 0.18 eV/f.u.

abc: 5.3958 5.3958 3.3900
angles: 90.00 90.00 120.00
Last column: nearest neighbours and their distance in Å.
Positions (direct):
Tb (0.0000, 0.0000, 0.0000)  2 Tb 3.39, 6 Zr 3.55, 6 Y 3.55
Y (0.3333, 0.6667, 0.5000)  3 Zr 3.12, 2 Y 3.39
Zr (0.6667, 0.3333, 0.5000)  3 Y 3.12, 2 Zr 3.39



Material: Tb14YZr
Method: DFT, PBE
State: relaxed

Results
Its density of states at the Fermi level is 20.03 states/eV/cell. Its space group is No. 123. The energy of formation from the pure elements is 0.0365 eV per atom.

abc: 7.0774 7.0774 9.9743
angles: 90.00 90.00 90.00
Last column: nearest neighbours and their distance in Å.
Positions (direct):
Tb (0.0000, 0.0000, 0.0000)  12 Tb 3.53-3.54
Tb (0.0000, 0.5000, 0.0000)  12 Tb 3.54-3.57
Tb (0.0000, 0.5000, 0.5000)  8 Tb 3.50, 2 Zr 3.54, 2 Y 3.54
Tb (0.2448, 0.2448, 0.2550)  1 Zr 3.46, 10 Tb 3.46-3.61, 1 Y 3.54
Tb (0.2448, 0.2448, 0.7450)  1 Zr 3.46, 10 Tb 3.46-3.61, 1 Y 3.54
Tb (0.2448, 0.7552, 0.2550)  1 Zr 3.46, 10 Tb 3.46-3.61, 1 Y 3.54
Tb (0.2448, 0.7552, 0.7450)  1 Zr 3.46, 10 Tb 3.46-3.61, 1 Y 3.54
Tb (0.5000, 0.0000, 0.0000)  12 Tb 3.54-3.57
Tb (0.5000, 0.0000, 0.5000)  8 Tb 3.50, 2 Zr 3.54, 2 Y 3.54
Tb (0.5000, 0.5000, 0.0000)  12 Tb 3.54-3.60
Tb (0.7552, 0.2448, 0.2550)  1 Zr 3.46, 10 Tb 3.46-3.61, 1 Y 3.54
Tb (0.7552, 0.2448, 0.7450)  1 Zr 3.46, 10 Tb 3.46-3.61, 1 Y 3.54
Tb (0.7552, 0.7552, 0.2550)  1 Zr 3.46, 10 Tb 3.46-3.61, 1 Y 3.54
Tb (0.7552, 0.7552, 0.7450)  1 Zr 3.46, 10 Tb 3.46-3.61, 1 Y 3.54
Y (0.5000, 0.5000, 0.5000)  12 Tb 3.54
Zr (0.0000, 0.0000, 0.5000)  12 Tb 3.46-3.54



Material: Tb2Y12Zr
Method: DFT, PBE
State: relaxed

Results
Its density of states at the Fermi level is 43.32 states/eV/cell. Its space group is No. 12. The energy of formation from the pure elements is 0.1474 eV per atom.

abc: 6.6444 6.6444 24.4230
angles: 94.24 94.24 115.71
Last column: nearest neighbours and their distance in Å.
Positions (direct):
Tb (0.2331, 0.2331, 0.2255)  2 Tb 3.51-3.57, 8 Y 3.55-3.89
Tb (0.2636, 0.2636, 0.7763)  2 Tb 3.51-3.57, 8 Y 3.53-3.86
Tb (0.7364, 0.7364, 0.2237)  2 Tb 3.51-3.57, 8 Y 3.53-3.86
Tb (0.7669, 0.7669, 0.7745)  2 Tb 3.51-3.57, 8 Y 3.55-3.89
Y (0.0627, 0.0627, 0.3958)  7 Y 3.31-3.61, 2 Zr 3.36-3.64
Y (0.0926, 0.6047, 0.9441)  10 Y 3.23-3.54
Y (0.1009, 0.1009, 0.9300)  6 Y 3.32-3.62
Y (0.1220, 0.5991, 0.4358)  3 Zr 3.43-3.54, 9 Y 3.47-3.76
Y (0.1954, 0.7560, 0.6954)  4 Y 3.21-3.59, 1 Tb 3.58
Y (0.2112, 0.7076, 0.1728)  6 Y 3.21-3.55, 4 Tb 3.54-3.57
Y (0.2440, 0.8046, 0.3046)  4 Y 3.21-3.59, 1 Tb 3.58
Y (0.2924, 0.7887, 0.8272)  6 Y 3.21-3.55, 4 Tb 3.54-3.57
Y (0.3953, 0.9074, 0.0559)  10 Y 3.23-3.54
Y (0.4009, 0.8780, 0.5642)  3 Zr 3.43-3.54, 9 Y 3.47-3.76
Y (0.4159, 0.4159, 0.0824)  8 Y 3.33-3.62
Y (0.4461, 0.4461, 0.6490)  1 Zr 3.12, 2 Y 3.35
Y (0.5539, 0.5539, 0.3510)  1 Zr 3.12, 2 Y 3.35
Y (0.5841, 0.5841, 0.9176)  8 Y 3.33-3.62
Y (0.5991, 0.1220, 0.4358)  3 Zr 3.43-3.54, 9 Y 3.47-3.76
Y (0.6047, 0.0926, 0.9441)  10 Y 3.23-3.54
Y (0.7076, 0.2112, 0.1728)  6 Y 3.21-3.55, 4 Tb 3.54-3.57
Y (0.7560, 0.1954, 0.6954)  4 Y 3.21-3.59, 1 Tb 3.58
Y (0.7887, 0.2924, 0.8272)  6 Y 3.21-3.55, 4 Tb 3.54-3.57
Y (0.8046, 0.2440, 0.3046)  4 Y 3.21-3.59, 1 Tb 3.58
Y (0.8780, 0.4009, 0.5642)  3 Zr 3.43-3.54, 9 Y 3.47-3.76
Y (0.8991, 0.8991, 0.0700)  6 Y 3.32-3.62
Y (0.9074, 0.3953, 0.0559)  10 Y 3.23-3.54
Y (0.9373, 0.9373, 0.6042)  7 Y 3.31-3.61, 2 Zr 3.36-3.64
Zr (0.3263, 0.3263, 0.5211)  1 Zr 2.79, 1 Y 3.12
Zr (0.6737, 0.6737, 0.4789)  1 Zr 2.79, 1 Y 3.12